1.
A relaxed structure of Ba3CdIn. Source: the Alexandria database, functional PBE.

Output
The calculation puts the formation enthalpy at 0 K at -0.225 eV per atom. The space group is C2/c, No. 15.

Unit cell a=9.269 b=9.269 c=10.606 alpha=93.61 beta=93.61 gamma=88.07
Fractional positions:
Ba 0.054 0.425 0.673
Ba 0.065 0.820 0.915
Ba 0.180 0.935 0.585
Ba 0.305 0.499 0.082
Ba 0.425 0.054 0.173
Ba 0.499 0.305 0.582
Ba 0.501 0.695 0.418
Ba 0.575 0.946 0.827
Ba 0.695 0.501 0.918
Ba 0.820 0.065 0.415
Ba 0.935 0.180 0.085
Ba 0.946 0.575 0.327
Cd 0.169 0.241 0.369
Cd 0.241 0.169 0.869
Cd 0.759 0.831 0.131
Cd 0.831 0.759 0.631
In 0.127 0.873 0.250
In 0.367 0.633 0.750
In 0.633 0.367 0.250
In 0.873 0.127 0.750

2.
A relaxed structure of Ge2PdSe. Source: the Alexandria database, functional PBE.

Output
The space group is I-42d, No. 122. The raw formation energy is -83 meV per atom.

Unit cell a=6.933 b=6.933 c=6.933 alpha=128.65 beta=128.65 gamma=75.57
Fractional positions:
Ge 0.096 0.625 0.971
Ge 0.375 0.346 0.471
Ge 0.654 0.125 0.029
Ge 0.875 0.904 0.529
Pd 0.000 0.000 0.000
Pd 0.750 0.250 0.500
Se 0.250 0.750 0.500
Se 0.500 0.500 0.000

3.
A relaxed structure of YRu2Pt. Source: the Alexandria database, functional PBE.

Output
The calculation puts the formation enthalpy at 0 K at 0.075 eV per atom. The space group is Fm-3m, No. 225.

Unit cell a=4.592 b=4.592 c=4.592 alpha=60.00 beta=60.00 gamma=60.00
Fractional positions:
Y 0.000 0.000 0.000
Ru 0.250 0.250 0.250
Ru 0.750 0.750 0.750
Pt 0.500 0.500 0.500

4.
A relaxed structure of ZrTaNbAu. Source: the Alexandria database, functional PBE.

Output
The calculation puts the formation enthalpy at 0 K at -0.064 eV per atom. The space group is F-43m, No. 216.

Unit cell a=4.747 b=4.747 c=4.747 alpha=60.00 beta=60.00 gamma=60.00
Fractional positions:
Zr 0.000 0.000 0.000
Ta 0.500 0.500 0.500
Nb 0.750 0.750 0.750
Au 0.250 0.250 0.250

5.
A relaxed structure of CaAg2SbCl. Source: the Alexandria database, functional PBE.

Output
The space group is P4/mmm, No. 123. The raw formation energy is -208 meV per atom.

Unit cell a=5.037 b=5.037 c=5.208 alpha=90.00 beta=90.00 gamma=90.00
Fractional positions:
Ca 0.000 0.000 0.000
Ag 0.000 0.500 0.500
Ag 0.500 0.000 0.500
Sb 0.500 0.500 0.000
Cl 0.000 0.000 0.500

6.
A relaxed structure of BaLa2Cu. Source: the Alexandria database, functional PBE.

Output
The calculation puts the formation enthalpy at 0 K at 0.303 eV per atom. The space group is P4/mmm, No. 123.

Unit cell a=4.890 b=4.890 c=5.576 alpha=90.00 beta=90.00 gamma=90.00
Fractional positions:
Ba 0.000 0.000 0.000
La 0.000 0.500 0.500
La 0.500 0.000 0.500
Cu 0.500 0.500 0.000

7.
A relaxed structure of Ni5Pt6W. Source: the Alexandria database, functional PBE.

Output
The calculation puts the formation enthalpy at 0 K at -0.184 eV per atom. The space group is Immm, No. 71.

Unit cell a=7.140 b=7.140 c=7.140 alpha=148.67 beta=117.44 gamma=71.64
Fractional positions:
Ni 0.000 0.000 0.000
Ni 0.166 0.666 0.500
Ni 0.340 0.340 0.000
Ni 0.660 0.660 0.000
Ni 0.834 0.334 0.500
Pt 0.081 0.832 0.249
Pt 0.246 0.500 0.746
Pt 0.417 0.168 0.249
Pt 0.583 0.832 0.751
Pt 0.754 0.500 0.254
Pt 0.919 0.168 0.751
W 0.500 0.000 0.500

8.
A relaxed structure of PmNd4Ga. Source: the Alexandria database, functional PBE.

Output
The calculation puts the formation enthalpy at 0 K at -0.160 eV per atom. The space group is P4/mmm, No. 123.

Unit cell a=3.666 b=3.666 c=14.277 alpha=90.00 beta=90.00 gamma=90.00
Fractional positions:
Pm 0.000 0.000 0.000
Nd 0.000 0.000 0.369
Nd 0.000 0.000 0.631
Nd 0.500 0.500 0.182
Nd 0.500 0.500 0.818
Ga 0.500 0.500 0.500

9.
A relaxed structure of Al3H. Source: the Alexandria database, functional PBE.

Output
The space group is Immm, No. 71. As for the calculated total energy: -3.47 eV/atom.

Unit cell a=4.707 b=4.707 c=4.707 alpha=143.47 beta=118.01 gamma=74.15
Fractional positions:
Al 0.000 0.000 0.000
Al 0.314 0.814 0.500
Al 0.686 0.186 0.500
H 0.500 0.500 0.000

10.
A relaxed structure of KCoHg2Cl8. Source: the Alexandria database, functional PBE.

Output
The space group is P-1, No. 2. The raw formation energy is -797 meV per atom.

Unit cell a=6.423 b=7.300 c=8.352 alpha=67.45 beta=86.24 gamma=83.51
Fractional positions:
K 0.000 0.000 0.000
Co 0.000 0.500 0.500
Hg 0.484 0.478 0.239
Hg 0.516 0.522 0.761
Cl 0.132 0.430 0.764
Cl 0.225 0.260 0.460
Cl 0.233 0.726 0.375
Cl 0.431 0.770 0.927
Cl 0.569 0.230 0.073
Cl 0.767 0.274 0.625
Cl 0.775 0.740 0.540
Cl 0.868 0.570 0.236

11.
A relaxed structure of DyErTm2. Source: the Alexandria database, functional PBE.

Output
The calculation puts the formation enthalpy at 0 K at 0.002 eV per atom. The space group is Pmm2, No. 25.

Unit cell a=3.572 b=5.558 c=6.185 alpha=90.00 beta=90.00 gamma=90.00
Fractional positions:
Dy 0.000 0.000 0.000
Er 0.000 0.500 0.666
Tm 0.500 0.000 0.499
Tm 0.500 0.500 0.166

12.
A relaxed structure of BaYCd2. Source: the Alexandria database, functional PBE.

Output
The calculation puts the formation enthalpy at 0 K at -0.221 eV per atom. The space group is Pmm2, No. 25.

Unit cell a=3.877 b=5.697 c=5.698 alpha=90.00 beta=90.00 gamma=90.00
Fractional positions:
Ba 0.000 0.000 0.000
Y 0.000 0.500 0.493
Cd 0.500 0.000 0.501
Cd 0.500 0.500 0.987